A relaxed ThCu12Ge6 crystal. Source: Alexandria via LeMat-Bulk, functional PBE.

Cell lengths 10.6424, 10.6424, 8.9639 Å; angles 90.00, 90.00, 120.00 degrees
Space group R-3m (No. 166, hexagonal axes)
Unique sites:
1 Th 0.0000 0.0000 0.0000 (multiplicity 3)
2 Cu 0.0000 0.3881 0.5000 (multiplicity 18)
3 Cu 0.0824 0.1649 0.3025 (multiplicity 18)
4 Ge 0.0431 0.5215 0.2538 (multiplicity 18)

A relaxed Th2Cu3Ge5 crystal. Source: Alexandria via LeMat-Bulk, functional PBE.

Cell lengths 11.2877, 12.7085, 6.2755 Å; angles 90.00, 123.66, 90.00 degrees
Space group C2/c (No. 15)
Unique sites:
1 Th 0.2500 0.1239 0.2492 (multiplicity 8)
2 Cu 0.0000 0.4978 0.7500 (multiplicity 4)
3 Cu 0.1151 0.1286 0.6121 (multiplicity 8)
4 Ge 0.0000 0.0016 0.7500 (multiplicity 4)
5 Ge 0.0000 0.2509 0.7500 (multiplicity 4)
6 Ge 0.0000 0.2530 0.2500 (multiplicity 4)
7 Ge 0.1350 0.3896 0.1375 (multiplicity 8)

A relaxed Th2Cu6Ge3 crystal. Source: Alexandria via LeMat-Bulk, functional PBE.

Cell lengths 7.3760, 7.3760, 4.1000 Å; angles 90.00, 90.00, 120.00 degrees
Space group P-62m (No. 189)
Unique sites:
1 Th 0.3333 0.6667 0.0000 (multiplicity 2)
2 Cu 0.0000 0.1926 0.0000 (multiplicity 3)
3 Cu 0.0000 0.7176 0.5000 (multiplicity 3)
4 Ge 0.0000 0.3746 0.5000 (multiplicity 3)

A relaxed Th2CuGe2 crystal. Source: Alexandria via LeMat-Bulk, functional PBE.

Cell lengths 11.0631, 4.1931, 10.8557 Å; angles 90.00, 114.79, 90.00 degrees
Space group C2/m (No. 12)
Unique sites:
1 Th 0.0951 0.0000 0.4024 (multiplicity 4)
2 Th 0.2002 0.5000 0.1466 (multiplicity 4)
3 Cu 0.0700 0.5000 0.8154 (multiplicity 4)
4 Ge 0.0445 0.0000 0.9106 (multiplicity 4)
5 Ge 0.1441 0.5000 0.6314 (multiplicity 4)

A relaxed Th2CuGe crystal. Source: Alexandria via LeMat-Bulk, functional PBE.

Cell lengths 6.0273, 4.0778, 8.4652 Å; angles 90.00, 110.51, 90.00 degrees
Space group P2_1/m (No. 11)
Unique sites:
1 Th 0.2099 0.2500 0.4132 (multiplicity 2)
2 Th 0.2146 0.2500 0.9404 (multiplicity 2)
3 Cu 0.3790 0.7500 0.2199 (multiplicity 2)
4 Ge 0.3444 0.7500 0.7082 (multiplicity 2)

A relaxed ThCu2Ge2 crystal. Source: Alexandria via LeMat-Bulk, functional PBE.

Cell lengths 4.1885, 4.1885, 10.1924 Å; angles 90.00, 90.00, 90.00 degrees
Space group I4/mmm (No. 139)
Unique sites:
1 Th 0.0000 0.0000 0.0000 (multiplicity 2)
2 Cu 0.0000 0.5000 0.2500 (multiplicity 4)
3 Ge 0.0000 0.0000 0.3767 (multiplicity 4)

A relaxed ThCu3Ge3 crystal. Source: Alexandria via LeMat-Bulk, functional PBE.

Cell lengths 6.5303, 6.5303, 6.5303 Å; angles 90.00, 90.00, 90.00 degrees
Space group Pm-3n (No. 223)
Unique sites:
1 Th 0.0000 0.0000 0.0000 (multiplicity 2)
2 Cu 0.0000 0.2500 0.5000 (multiplicity 6)
3 Ge 0.0000 0.5000 0.2500 (multiplicity 6)

A relaxed ThCu4Ge2 crystal. Source: Alexandria via LeMat-Bulk, functional PBE.

Cell lengths 7.5321, 7.5321, 4.0191 Å; angles 90.00, 90.00, 90.00 degrees
Space group P4_2/mnm (No. 136)
Unique sites:
1 Th 0.0000 0.0000 0.0000 (multiplicity 2)
2 Cu 0.0889 0.3474 0.5000 (multiplicity 8)
3 Ge 0.2161 0.7839 0.5000 (multiplicity 4)

A relaxed Th3CuGe2 crystal. Source: Alexandria via LeMat-Bulk, functional PBE.

Cell lengths 12.0829, 4.1918, 11.6975 Å; angles 90.00, 90.00, 90.00 degrees
Space group Pnma (No. 62)
Unique sites:
1 Th 0.0529 0.2500 0.1198 (multiplicity 4)
2 Th 0.1205 0.7500 0.5622 (multiplicity 4)
3 Th 0.2122 0.2500 0.7889 (multiplicity 4)
4 Cu 0.1284 0.2500 0.3706 (multiplicity 4)
5 Ge 0.0239 0.7500 0.3115 (multiplicity 4)
6 Ge 0.1935 0.7500 0.9942 (multiplicity 4)

A relaxed Th3Cu3Ge crystal. Source: Alexandria via LeMat-Bulk, functional PBE.

Cell lengths 3.9068, 4.1855, 19.0921 Å; angles 90.00, 90.00, 90.00 degrees
Space group Imm2 (No. 44)
Unique sites:
1 Th 0.0000 0.0000 0.0000 (multiplicity 2)
2 Th 0.0000 0.0000 0.3773 (multiplicity 2)
3 Th 0.0000 0.5000 0.1876 (multiplicity 2)
4 Cu 0.0000 0.0000 0.5484 (multiplicity 2)
5 Cu 0.0000 0.0000 0.8244 (multiplicity 2)
6 Cu 0.0000 0.5000 0.6212 (multiplicity 2)
7 Ge 0.0000 0.5000 0.7511 (multiplicity 2)

A relaxed ThCu6Ge2 crystal. Source: Alexandria via LeMat-Bulk, functional PBE.

Cell lengths 4.1616, 4.1616, 7.9624 Å; angles 90.00, 90.00, 90.00 degrees
Space group P4/mmm (No. 123)
Unique sites:
1 Th 0.0000 0.0000 0.0000 (multiplicity 1)
2 Cu 0.0000 0.0000 0.5000 (multiplicity 1)
3 Cu 0.0000 0.5000 0.3199 (multiplicity 4)
4 Cu 0.5000 0.5000 0.5000 (multiplicity 1)
5 Ge 0.5000 0.5000 0.1582 (multiplicity 2)

A relaxed ThCuGe2 crystal. Source: Alexandria via LeMat-Bulk, functional PBE.

Cell lengths 4.3613, 4.3613, 4.2976 Å; angles 90.00, 90.00, 90.00 degrees
Space group P4/mmm (No. 123)
Unique sites:
1 Th 0.0000 0.0000 0.0000 (multiplicity 1)
2 Cu 0.5000 0.5000 0.0000 (multiplicity 1)
3 Ge 0.0000 0.5000 0.5000 (multiplicity 2)

A relaxed Tm2ThCu2Ge2 crystal. Source: Alexandria via LeMat-Bulk, functional PBE.

Cell lengths 4.1822, 4.1822, 30.5072 Å; angles 90.00, 90.00, 120.00 degrees
Space group R-3m (No. 166, hexagonal axes)
Unique sites:
1 Tm 0.0000 0.0000 0.1249 (multiplicity 6)
2 Th 0.0000 0.0000 0.0000 (multiplicity 3)
3 Cu 0.0000 0.0000 0.3962 (multiplicity 6)
4 Ge 0.0000 0.0000 0.2626 (multiplicity 6)

A relaxed YThCuGe crystal. Source: Alexandria via LeMat-Bulk, functional PBE.

Cell lengths 7.1669, 7.1669, 7.1669 Å; angles 90.00, 90.00, 90.00 degrees
Space group F-43m (No. 216)
Unique sites:
1 Y 0.0000 0.0000 0.0000 (multiplicity 4)
2 Th 0.0000 0.0000 0.5000 (multiplicity 4)
3 Cu 0.2500 0.2500 0.2500 (multiplicity 4)
4 Ge 0.2500 0.2500 0.7500 (multiplicity 4)

A relaxed Th2ZnCu3Ge4 crystal. Source: Alexandria via LeMat-Bulk, functional PBE.

Cell lengths 4.2546, 4.2546, 10.0925 Å; angles 90.00, 90.00, 90.00 degrees
Space group P-4m2 (No. 115)
Unique sites:
1 Th 0.0000 0.5000 0.2467 (multiplicity 2)
2 Zn 0.0000 0.0000 0.5000 (multiplicity 1)
3 Cu 0.0000 0.5000 0.8735 (multiplicity 2)
4 Cu 0.5000 0.5000 0.5000 (multiplicity 1)
5 Ge 0.0000 0.0000 0.0000 (multiplicity 1)
6 Ge 0.0000 0.5000 0.6383 (multiplicity 2)
7 Ge 0.5000 0.5000 0.0000 (multiplicity 1)

A relaxed Th2ZnCu4Ge3 crystal. Source: Alexandria via LeMat-Bulk, functional PBE.

Cell lengths 4.1766, 4.1766, 10.1696 Å; angles 90.00, 90.00, 90.00 degrees
Space group P-4m2 (No. 115)
Unique sites:
1 Th 0.0000 0.5000 0.2459 (multiplicity 2)
2 Zn 0.0000 0.0000 0.5000 (multiplicity 1)
3 Cu 0.0000 0.0000 0.0000 (multiplicity 1)
4 Cu 0.0000 0.5000 0.6328 (multiplicity 2)
5 Cu 0.5000 0.5000 0.0000 (multiplicity 1)
6 Ge 0.0000 0.5000 0.8683 (multiplicity 2)
7 Ge 0.5000 0.5000 0.5000 (multiplicity 1)

A relaxed Ti4CuGe crystal. Source: Alexandria via LeMat-Bulk, functional PBE.

Cell lengths 4.3978, 9.9042, 4.3967 Å; angles 90.00, 90.00, 90.00 degrees
Space group Cmmm (No. 65)
Unique sites:
1 Ti 0.0000 0.1620 0.0000 (multiplicity 4)
2 Ti 0.0000 0.3373 0.5000 (multiplicity 4)
3 Cu 0.0000 0.5000 0.0000 (multiplicity 2)
4 Ge 0.0000 0.0000 0.5000 (multiplicity 2)

A relaxed Ti5CuGe5 crystal. Source: Alexandria via LeMat-Bulk, functional PBE.

Cell lengths 9.9208, 5.1776, 8.4982 Å; angles 90.00, 117.35, 90.00 degrees
Space group C2/m (No. 12)
Unique sites:
1 Ti 0.0000 0.0000 0.0000 (multiplicity 2)
2 Ti 0.1666 0.5000 0.8532 (multiplicity 4)
3 Ti 0.1732 0.5000 0.3165 (multiplicity 4)
4 Cu 0.0000 0.0000 0.5000 (multiplicity 2)
5 Ge 0.0000 0.5000 0.5000 (multiplicity 2)
6 Ge 0.1430 0.0000 0.8178 (multiplicity 4)
7 Ge 0.1750 0.0000 0.3397 (multiplicity 4)

A relaxed Ti2CuGe2 crystal. Source: Alexandria via LeMat-Bulk, functional PBE.

Cell lengths 9.8160, 3.7961, 9.2823 Å; angles 90.00, 116.70, 90.00 degrees
Space group C2/m (No. 12)
Unique sites:
1 Ti 0.0107 0.0000 0.1761 (multiplicity 4)
2 Ti 0.1878 0.0000 0.6051 (multiplicity 4)
3 Cu 0.2029 0.5000 0.8347 (multiplicity 4)
4 Ge 0.0431 0.5000 0.3904 (multiplicity 4)
5 Ge 0.1439 0.5000 0.0685 (multiplicity 4)

A relaxed Ti2CuGe2 crystal. Source: Alexandria via LeMat-Bulk, functional PBE.

Cell lengths 4.0332, 13.9545, 5.7049 Å; angles 90.00, 90.00, 90.00 degrees
Space group Cmc2_1 (No. 36)
Unique sites:
1 Ti 0.0000 0.0068 0.0000 (multiplicity 4)
2 Ti 0.0000 0.1906 0.3044 (multiplicity 4)
3 Cu 0.0000 0.3904 0.1660 (multiplicity 4)
4 Ge 0.0000 0.1822 0.8038 (multiplicity 4)
5 Ge 0.0000 0.4303 0.7484 (multiplicity 4)

A relaxed Ti2CuGe crystal. Source: Alexandria via LeMat-Bulk, functional PBE.

Cell lengths 3.9563, 3.9563, 3.8218 Å; angles 90.00, 90.00, 90.00 degrees
Space group P4/mmm (No. 123)
Unique sites:
1 Ti 0.0000 0.5000 0.0000 (multiplicity 2)
2 Cu 0.0000 0.0000 0.5000 (multiplicity 1)
3 Ge 0.5000 0.5000 0.5000 (multiplicity 1)

A relaxed Ti2CuGe crystal. Source: Alexandria via LeMat-Bulk, functional PBE.

Cell lengths 7.0122, 7.0122, 5.2480 Å; angles 90.00, 90.00, 90.00 degrees
Space group I-42d (No. 122)
Unique sites:
1 Ti 0.2431 0.2500 0.1250 (multiplicity 8)
2 Cu 0.0000 0.0000 0.0000 (multiplicity 4)
3 Ge 0.0000 0.0000 0.5000 (multiplicity 4)

Number 1: ΔH_f (0 K) 6.77 kJ/mol of atoms, calculated total energy -248.8 eV/cell. Number 2: ΔH_f (0 K) -35.92 kJ/mol of atoms, calculated total energy -215.8 eV/cell. Number 3: ΔH_f (0 K) -31.21 kJ/mol of atoms, calculated total energy -56.8 eV/cell. Number 4: ΔH_f (0 K) -63.11 kJ/mol of atoms, calculated total energy -125.8 eV/cell. Number 5: ΔH_f (0 K) -44.81 kJ/mol of atoms, calculated total energy -50.8 eV/cell. Number 6: ΔH_f (0 K) -47.01 kJ/mol of atoms, calculated total energy -54.6 eV/cell. Number 7: ΔH_f (0 K) 8.20 kJ/mol of atoms, calculated total energy -65.9 eV/cell. Number 8: ΔH_f (0 K) -28.63 kJ/mol of atoms, calculated total energy -70.2 eV/cell. Number 9: ΔH_f (0 K) -55.71 kJ/mol of atoms, calculated total energy -156.2 eV/cell. Number 10: ΔH_f (0 K) -28.23 kJ/mol of atoms, calculated total energy -82.4 eV/cell. Number 11: ΔH_f (0 K) -21.90 kJ/mol of atoms, calculated total energy -43.3 eV/cell. Number 12: ΔH_f (0 K) -32.10 kJ/mol of atoms, calculated total energy -22.1 eV/cell. Number 13: ΔH_f (0 K) -44.20 kJ/mol of atoms, calculated total energy -111.0 eV/cell. Number 14: ΔH_f (0 K) -37.85 kJ/mol of atoms, calculated total energy -96.7 eV/cell. Number 15: ΔH_f (0 K) -43.84 kJ/mol of atoms, calculated total energy -51.4 eV/cell. Number 16: ΔH_f (0 K) -45.82 kJ/mol of atoms, calculated total energy -51.1 eV/cell. Number 17: ΔH_f (0 K) -26.67 kJ/mol of atoms, calculated total energy -83.9 eV/cell. Number 18: ΔH_f (0 K) -13.94 kJ/mol of atoms, calculated total energy -136.5 eV/cell. Number 19: ΔH_f (0 K) -43.28 kJ/mol of atoms, calculated total energy -125.5 eV/cell. Number 20: ΔH_f (0 K) -36.72 kJ/mol of atoms, calculated total energy -124.1 eV/cell. Number 21: ΔH_f (0 K) -34.90 kJ/mol of atoms, calculated total energy -26.0 eV/cell. Number 22: ΔH_f (0 K) -0.68 kJ/mol of atoms, calculated total energy -98.1 eV/cell.